<a>
VASP calculation (PBE) on a relaxed structure of YHOF2.

Cell: 3.3986 3.3986 3.9213 Å, 90.00 90.00 90.00°
Space group P4/mmm (No. 123)
Symmetry-distinct sites (fractional):
Y: 0.0000 0.0000 0.0000 [1 per cell]
H: 0.5000 0.5000 0.5000 [1 per cell]
O: 0.5000 0.5000 0.0000 [1 per cell]
F: 0.0000 0.5000 0.5000 [2 per cell]

Its size of the total moment is 0.00 μB/cell.

=====

<b>
VASP calculation (PBE) on a relaxed structure of YHOF2.

Cell: 4.3881 4.3881 4.5640 Å, 90.00 90.00 90.00°
Space group P4/mmm (No. 123)
Symmetry-distinct sites (fractional):
Y: 0.0000 0.0000 0.0000 [1 per cell]
H: 0.5000 0.5000 0.5000 [1 per cell]
O: 0.0000 0.0000 0.5000 [1 per cell]
F: 0.0000 0.5000 0.0000 [2 per cell]

Its size of the total moment is 0.00 μB/cell.

=====

Of all the structures shown, which is most stable? <a>, and <b> is the least stable.